A geometry-optimized VNi2Te6 structure. Source: the Alexandria database, functional PBE.

Cell lengths 6.5546, 6.5546, 9.6641 Å; angles 104.71, 104.71, 33.42 degrees
Last column: nearest neighbours and their distance in Å.
Sites, in units of the cell vectors:
V  0.0000  0.0000  0.0000  6 Te 2.64-2.72
Ni  0.2126  0.2126  0.6577  5 Te 2.50-2.60
Ni  0.7874  0.7874  0.3423  5 Te 2.50-2.60
Te  0.0413  0.0413  0.7464  1 Ni 2.52, 1 V 2.64
Te  0.3395  0.3395  0.9134  1 Ni 2.56, 2 V 2.72
Te  0.3610  0.3610  0.5292  3 Ni 2.50-2.60
Te  0.6390  0.6390  0.4708  3 Ni 2.50-2.60
Te  0.6605  0.6605  0.0866  1 Ni 2.56, 2 V 2.72
Te  0.9587  0.9587  0.2536  1 Ni 2.52, 1 V 2.64

E_form (uncorrected) (eV per atom): -0.122
Uncorrected energy (eV/atom): -4.514